Compound: Li11Cr3Fe3O16
Source: Alexandria via LeMat-Bulk
Functional: PBE+U
Structure: relaxed

Cell: 5.844 5.954 10.183 Å, 75.99 81.90 60.64°
Atoms (fractional coordinates):
1 Li 0.000 0.000 0.000
2 Li 0.002 0.472 0.003
3 Li 0.150 0.489 0.430
4 Li 0.302 0.704 0.504
5 Li 0.335 0.086 0.503
6 Li 0.452 0.734 0.743
7 Li 0.506 0.992 0.998
8 Li 0.521 0.478 0.993
9 Li 0.748 0.703 0.505
10 Li 0.806 0.157 0.475
11 Li 0.825 0.237 0.230
12 Cr 0.328 0.233 0.231
13 Cr 0.452 0.237 0.732
14 Cr 0.953 0.235 0.731
15 Fe 0.328 0.736 0.231
16 Fe 0.823 0.736 0.232
17 Fe 0.952 0.736 0.736
18 O 0.008 0.353 0.343
19 O 0.113 0.959 0.623
20 O 0.128 0.442 0.617
21 O 0.167 0.610 0.117
22 O 0.178 0.114 0.122
23 O 0.270 0.050 0.834
24 O 0.290 0.495 0.839
25 O 0.471 0.353 0.344
26 O 0.482 0.864 0.353
27 O 0.624 0.958 0.624
28 O 0.638 0.421 0.622
29 O 0.647 0.116 0.123
30 O 0.656 0.632 0.115
31 O 0.780 0.028 0.843
32 O 0.805 0.493 0.841
33 O 0.995 0.837 0.355

Computed properties:
ρ ... 3.6 g/cm3
Space group ... P1, No. 1
Energy ... -6.01 eV per atom